No. 1
A plane-wave DFT calculation with meta-GGA SCAN was carried out for Zr2TlCl at its PBEsol-relaxed geometry.

Lattice parameters (Å, degrees): 3.2978 3.7968 6.8808 90.00 90.00 90.00
Last column: nearest neighbours and their distance in Å.
Fractional coordinates of all 4 atoms:
Zr 0.0000 0.0000 0.0000  1 Cl 2.68
Zr 0.5000 0.5000 0.2746  4 Cl 2.64
Tl 0.5000 0.5000 0.7555  5 Zr 3.03-3.31, 2 Tl 3.30
Cl 0.0000 0.0000 0.3896  5 Zr 2.64-2.68

formation energy without anion corrections	-0.469	eV/atom
distance to the lowest polymorph of the same formula	4.36	kJ per mole of atoms
DFT total energy	-143.6	eV/cell


No. 2
A plane-wave DFT calculation with meta-GGA SCAN was carried out for UCl3 at its PBEsol-relaxed geometry.

Lattice parameters (Å, degrees): 7.3830 7.3830 3.9922 90.00 90.00 120.00
Last column: nearest neighbours and their distance in Å.
Fractional coordinates of all 8 atoms:
U 0.3333 0.6667 0.2500  9 Cl 2.82-2.91
U 0.6667 0.3333 0.7500  9 Cl 2.82-2.91
Cl 0.0825 0.3821 0.7500  3 U 2.82-2.91
Cl 0.2996 0.9175 0.7500  3 U 2.82-2.91
Cl 0.3821 0.2996 0.2500  3 U 2.82-2.91
Cl 0.6179 0.7004 0.7500  3 U 2.82-2.91
Cl 0.7004 0.0825 0.2500  3 U 2.82-2.91
Cl 0.9175 0.6179 0.2500  3 U 2.82-2.91

formation energy without anion corrections	-1.813	eV/atom
DFT total energy	-269.4	eV/cell


No. 3
A plane-wave DFT calculation with meta-GGA SCAN was carried out for VCl4 at its PBEsol-relaxed geometry.

Lattice parameters (Å, degrees): 9.6595 6.5007 9.8444 90.00 102.71 90.00
Last column: nearest neighbours and their distance in Å.
Fractional coordinates of all 20 atoms:
V 0.2497 0.0730 0.1360  4 Cl 2.12
V 0.2497 0.4270 0.6360  4 Cl 2.12
V 0.7503 0.5730 0.3640  4 Cl 2.12
V 0.7503 0.9270 0.8640  4 Cl 2.12
Cl 0.0786 0.5834 0.6943  1 V 2.12
Cl 0.0786 0.9166 0.1943  1 V 2.12
Cl 0.1909 0.1184 0.5807  1 V 2.12
Cl 0.1909 0.3816 0.0807  1 V 2.12
Cl 0.3059 0.5796 0.4654  1 V 2.12
Cl 0.3059 0.9204 0.9654  1 V 2.12
Cl 0.4271 0.0718 0.3071  1 V 2.12
Cl 0.4271 0.4282 0.8071  1 V 2.12
Cl 0.5729 0.5718 0.1929  1 V 2.12
Cl 0.5729 0.9282 0.6929  1 V 2.12
Cl 0.6941 0.0796 0.0346  1 V 2.12
Cl 0.6941 0.4204 0.5346  1 V 2.12
Cl 0.8091 0.6184 0.9193  1 V 2.12
Cl 0.8091 0.8816 0.4193  1 V 2.12
Cl 0.9214 0.0834 0.8057  1 V 2.12
Cl 0.9214 0.4166 0.3057  1 V 2.12

formation energy without anion corrections	-1.310	eV/atom
DFT total energy	-223.8	eV/cell